Entry from Alexandria: a relaxed LiTlInPd crystal (PBE).

- energy of formation from the pure elements (eV/atom) = -0.325
- calculated volume (Å³/cell) = 76
- DFT total energy (Ha/atom) = -0.1241

Structure (POSCAR):
```
LiTlInPd
1.0
0.000 3.366 3.366
3.366 0.000 3.366
3.366 3.366 0.000
Li Tl In Pd
1 1 1 1
Cartesian
0.000 0.000 0.000
1.683 1.683 1.683
5.050 5.050 5.050
3.366 3.366 3.366
```

***

Entry from Alexandria: a relaxed LiTlIn2Pd crystal (PBE).

- energy of formation from the pure elements (eV/atom) = -0.174
- calculated volume (Å³/cell) = 132
- DFT total energy (Ha/atom) = -0.1163

Structure (POSCAR):
```
LiTlIn2Pd
1.0
5.170 0.000 0.000
0.000 5.170 0.000
0.000 0.000 4.936
Li Tl In Pd
1 1 2 1
Cartesian
0.000 0.000 0.000
2.585 2.585 0.000
0.000 2.585 2.468
2.585 0.000 2.468
0.000 0.000 2.468
```

***

Entry from Alexandria: a relaxed Li2Tm2InPd5 crystal (PBE).

- energy of formation from the pure elements (eV/atom) = -0.698
- calculated volume (Å³/cell) = 338
- DFT total energy (Ha/atom) = -0.1781

Structure (POSCAR):
```
Li2Tm2InPd5
1.0
9.601 0.000 0.000
0.000 9.601 0.000
0.000 0.000 3.671
Li Tm In Pd
4 4 2 10
Cartesian
1.158 3.643 0.000
3.643 8.443 0.000
5.959 1.158 0.000
8.443 5.959 0.000
1.699 6.500 0.000
3.102 1.699 0.000
6.500 7.902 0.000
7.902 3.102 0.000
0.000 0.000 0.000
4.801 4.801 0.000
0.000 4.801 1.835
0.675 2.015 1.835
2.015 8.926 1.835
2.786 4.125 1.835
4.125 6.816 1.835
4.801 0.000 1.835
5.476 2.786 1.835
6.816 5.476 1.835
7.586 0.675 1.835
8.926 7.586 1.835
```

***

Entry from Alexandria: a relaxed Li2Y2InPd5 crystal (PBE).

- energy of formation from the pure elements (eV/atom) = -0.681
- calculated volume (Å³/cell) = 346
- DFT total energy (Ha/atom) = -0.1921

Structure (POSCAR):
```
Li2Y2InPd5
1.0
9.663 0.000 0.000
0.000 9.663 0.000
0.000 0.000 3.704
Li Y In Pd
4 4 2 10
Cartesian
1.161 3.670 0.000
3.670 8.502 0.000
5.992 1.161 0.000
8.502 5.992 0.000
1.716 6.547 0.000
3.115 1.716 0.000
6.547 7.947 0.000
7.947 3.115 0.000
0.000 0.000 0.000
4.831 4.831 0.000
0.000 4.831 1.852
0.663 2.031 1.852
2.031 8.999 1.852
2.800 4.168 1.852
4.168 6.863 1.852
4.831 0.000 1.852
5.495 2.800 1.852
6.863 5.495 1.852
7.631 0.663 1.852
8.999 7.631 1.852
```

***

Entry from Alexandria: a relaxed Li2YInPd crystal (PBE).

- energy of formation from the pure elements (eV/atom) = 1.155
- calculated volume (Å³/cell) = 157
- DFT total energy (Ha/atom) = -0.0915

Structure (POSCAR):
```
Li2YInPd
1.0
5.266 0.000 0.000
0.000 5.266 0.000
0.000 0.000 5.667
Li Y In Pd
2 1 1 1
Cartesian
0.000 2.633 0.000
2.633 0.000 0.000
0.000 0.000 0.000
0.000 0.000 2.833
2.633 2.633 2.833
```

***

Entry from Alexandria: a relaxed Li4Pm3In4 crystal (PBE).

- energy of formation from the pure elements (eV/atom) = -0.341
- calculated volume (Å³/cell) = 270
- DFT total energy (Ha/atom) = -0.1223

Structure (POSCAR):
```
Li4Pm3In4
1.0
15.747 -1.734 0.000
15.747 1.734 0.000
-0.790 0.000 4.942
Li Pm In
4 3 4
Cartesian
2.846 0.000 0.456
6.967 0.000 3.654
23.738 0.000 1.287
27.859 0.000 4.485
10.987 0.000 1.772
15.747 0.000 0.000
19.718 0.000 3.170
1.125 0.000 2.715
5.666 0.000 0.908
25.039 0.000 4.034
29.580 0.000 2.227
```

***

Entry from Alexandria: a relaxed LiPmIn2 crystal (PBE).

- energy of formation from the pure elements (eV/atom) = -0.387
- calculated volume (Å³/cell) = 101
- DFT total energy (Ha/atom) = -0.1258

Structure (POSCAR):
```
LiPmIn2
1.0
4.843 0.000 0.000
0.000 4.843 0.000
0.000 0.000 4.305
Li Pm In
1 1 2
Cartesian
0.000 0.000 0.000
2.422 2.422 0.000
0.000 2.422 2.152
2.422 0.000 2.152
```

***

Entry from Alexandria: a relaxed LiPm12In3 crystal (PBE).

- energy of formation from the pure elements (eV/atom) = -0.164
- calculated volume (Å³/cell) = 489
- DFT total energy (Ha/atom) = -0.1602

Structure (POSCAR):
```
LiPm12In3
1.0
4.960 0.000 0.000
0.000 4.960 0.000
0.000 0.000 19.880
Li Pm In
1 12 3
Cartesian
0.000 0.000 0.000
0.000 2.480 2.529
0.000 2.480 7.451
0.000 2.480 12.429
0.000 2.480 17.351
2.480 0.000 2.529
2.480 0.000 7.451
2.480 0.000 12.429
2.480 0.000 17.351
2.480 2.480 0.000
2.480 2.480 4.946
2.480 2.480 9.940
2.480 2.480 14.934
0.000 0.000 4.985
0.000 0.000 9.940
0.000 0.000 14.895
```